No. 1
# Pa3Bi5N12, relaxed, DFT GGA-PBE
# raw formation energy: 208 kJ/mol of formula units
# magnetic moment: 0.0 μB/f.u.
# N(E_F): 80.07 states/eV per cell
# mass density: 10.0 g/cm3
# calculated volume: 15.88 Å³/atom
data_Pa3Bi5N12
_chemical_formula_sum 'Pa24 Bi40 N96'
_space_group_name_H-M_alt 'I a -3 d'
_space_group_IT_number 230
_space_group_name_Hall '-I 4bd 2c 3'
_cell_length_a 13.645
_cell_length_b 13.645
_cell_length_c 13.645
_cell_angle_alpha 90.00
_cell_angle_beta 90.00
_cell_angle_gamma 90.00
loop_
_atom_site_label
_atom_site_type_symbol
_atom_site_fract_x
_atom_site_fract_y
_atom_site_fract_z
_atom_site_occupancy
Pa1 Pa 0.000 0.250 0.125 1
Bi1 Bi 0.000 0.000 0.000 1
Bi2 Bi 0.000 0.250 0.375 1
N1 N 0.014 0.071 0.658 1



No. 2
# Pa2Bi2N, relaxed, DFT GGA-PBE
# raw formation energy: -325 kJ/mol of formula units
# magnetic moment: 0.7 μB/f.u.
# N(E_F): 21.11 states/eV per cell
# mass density: 11.6 g/cm3
# calculated volume: 25.49 Å³/atom
data_Pa2Bi2N
_chemical_formula_sum 'Pa8 Bi8 N4'
_space_group_name_H-M_alt 'I b a m'
_space_group_IT_number 72
_space_group_name_Hall '-I 2 2c'
_cell_length_a 6.403
_cell_length_b 13.240
_cell_length_c 6.013
_cell_angle_alpha 90.00
_cell_angle_beta 90.00
_cell_angle_gamma 90.00
loop_
_atom_site_label
_atom_site_type_symbol
_atom_site_fract_x
_atom_site_fract_y
_atom_site_fract_z
_atom_site_occupancy
Pa1 Pa 0.195 0.091 0.000 1
Bi1 Bi 0.186 0.340 0.000 1
N1 N 0.000 0.000 0.250 1



No. 3
# Pa4BiN6, relaxed, DFT GGA-PBE
# raw formation energy: -1692 kJ/mol of formula units
# magnetic moment: 0.0 μB/f.u.
# N(E_F): 4.71 states/eV per cell
# mass density: 10.8 g/cm3
# calculated volume: 17.00 Å³/atom
data_Pa4BiN6
_chemical_formula_sum 'Pa8 Bi2 N12'
_space_group_name_H-M_alt 'I 4/m m m'
_space_group_IT_number 139
_space_group_name_Hall '-I 4 2'
_cell_length_a 3.902
_cell_length_b 3.902
_cell_length_c 24.567
_cell_angle_alpha 90.00
_cell_angle_beta 90.00
_cell_angle_gamma 90.00
loop_
_atom_site_label
_atom_site_type_symbol
_atom_site_fract_x
_atom_site_fract_y
_atom_site_fract_z
_atom_site_occupancy
Pa1 Pa 0.000 0.000 0.097 1
Pa2 Pa 0.000 0.000 0.301 1
Bi1 Bi 0.000 0.000 0.500 1
N1 N 0.000 0.500 0.136 1
N2 N 0.000 0.500 0.250 1



No. 4
# Pa4Bi5N, relaxed, DFT GGA-PBE
# raw formation energy: -276 kJ/mol of formula units
# magnetic moment: 0.9 μB/f.u.
# N(E_F): 28.84 states/eV per cell
# mass density: 11.8 g/cm3
# calculated volume: 27.81 Å³/atom
data_Pa4Bi5N
_chemical_formula_sum 'Pa8 Bi10 N2'
_space_group_name_H-M_alt 'C 1 2/m 1'
_space_group_IT_number 12
_space_group_name_Hall '-C 2y'
_cell_length_a 18.087
_cell_length_b 3.309
_cell_length_c 9.359
_cell_angle_alpha 90.00
_cell_angle_beta 96.75
_cell_angle_gamma 90.00
loop_
_atom_site_label
_atom_site_type_symbol
_atom_site_fract_x
_atom_site_fract_y
_atom_site_fract_z
_atom_site_occupancy
Pa1 Pa 0.010 0.000 0.319 1
Pa2 Pa 0.139 0.500 0.571 1
Bi1 Bi 0.000 0.500 0.000 1
Bi2 Bi 0.158 0.000 0.886 1
Bi3 Bi 0.186 0.000 0.288 1
N1 N 0.000 0.500 0.500 1



No. 5
# PaBiN, relaxed, DFT GGA-PBE
# raw formation energy: -255 kJ/mol of formula units
# magnetic moment: 0.0 μB/f.u.
# energy above the lowest structure with this stoichiometry: 0.261 eV per atom
# N(E_F): 2.30 states/eV per cell
# mass density: 11.2 g/cm3
# calculated volume: 22.45 Å³/atom
data_PaBiN
_chemical_formula_sum 'Pa1 Bi1 N1'
_space_group_name_H-M_alt 'P -6 m 2'
_space_group_IT_number 187
_space_group_name_Hall 'P -6 2'
_cell_length_a 3.8206
_cell_length_b 3.8206
_cell_length_c 5.3275
_cell_angle_alpha 90.00
_cell_angle_beta 90.00
_cell_angle_gamma 120.00
loop_
_atom_site_label
_atom_site_type_symbol
_atom_site_fract_x
_atom_site_fract_y
_atom_site_fract_z
_atom_site_occupancy
Pa1 Pa 0.0000 0.0000 0.0000 1
Bi1 Bi 0.6667 0.3333 0.5000 1
N1 N 0.3333 0.6667 0.0000 1



No. 6
# Pa2BiN3, relaxed, DFT GGA-PBE
# raw formation energy: -775 kJ/mol of formula units
# magnetic moment: 0.0 μB/f.u.
# N(E_F): 10.54 states/eV per cell
# mass density: 10.2 g/cm3
# calculated volume: 19.43 Å³/atom
data_Pa2BiN3
_chemical_formula_sum 'Pa8 Bi4 N12'
_space_group_name_H-M_alt 'C 1 2/m 1'
_space_group_IT_number 12
_space_group_name_Hall '-C 2y'
_cell_length_a 12.966
_cell_length_b 3.842
_cell_length_c 9.972
_cell_angle_alpha 90.00
_cell_angle_beta 110.17
_cell_angle_gamma 90.00
loop_
_atom_site_label
_atom_site_type_symbol
_atom_site_fract_x
_atom_site_fract_y
_atom_site_fract_z
_atom_site_occupancy
Pa1 Pa 0.000 0.000 0.244 1
Pa2 Pa 0.158 0.500 0.074 1
Bi1 Bi 0.127 0.500 0.558 1
N1 N 0.005 0.500 0.864 1
N2 N 0.151 0.000 0.199 1
N3 N 0.165 0.000 0.926 1